(1)
The following is a DFT calculation (PBE) of a geometry-optimized SrCaGa3 structure.

The structure in POSCAR format:
```
SrCaGa3
1.0
2.343 -13.149 0.000
2.343 13.149 0.000
0.000 0.000 4.309
Sr Ca Ga
2 2 6
direct
0.073 0.927 0.750
0.927 0.073 0.250
0.204 0.796 0.250
0.796 0.204 0.750
0.327 0.673 0.250
0.379 0.621 0.750
0.476 0.524 0.750
0.524 0.476 0.250
0.621 0.379 0.250
0.673 0.327 0.750
```

Properties
**Offset from the most stable computed form**: 0 meV per atom
**Calculated total energy**: -30.336 eV for the cell shown
**Formation enthalpy at 0 K**: -481 meV/atom



(2)
The following is a DFT calculation (PBE) of a geometry-optimized SrCa2Ga structure.

The structure in POSCAR format:
```
SrCa2Ga
1.0
1.941 1.120 11.892
-1.941 1.120 11.892
0.000 -2.241 11.892
Sr Ca Ga
1 2 1
direct
0.000 0.000 0.000
0.107 0.107 0.107
0.893 0.893 0.893
0.500 0.500 0.500
```

Properties
**Calculated total energy**: -8.783 eV for the cell shown
**Formation enthalpy at 0 K**: -18 meV/atom